The following is a GGA-PBE calculation of a relaxed ZrAuBr2 crystal, from the Alexandria database.

Summary:
The value obtained for the energy relative to the elements, uncorrected is -0.55 eV/atom. For the relative energy among the computed polymorphs, the calculation gives 0.209 eV per atom. The uncorrected energy is -4.345 eV/atom. The calculation puts the volume at 105.3 Å³/cell.

The structure in POSCAR format:
```
ZrAuBr2
1.0
1.674 0.966 10.853
-1.674 0.966 10.853
0.000 -1.933 10.853
Zr Au Br
1 1 2
direct
0.000 0.000 0.000 Zr
0.500 0.500 0.500 Au
0.393 0.393 0.393 Br
0.607 0.607 0.607 Br
```

The following is a GGA-PBE calculation of a relaxed Zr2Au2Br crystal, from the Alexandria database.

Summary:
The value obtained for the energy relative to the elements, uncorrected is -0.44 eV/atom. For the relative energy among the computed polymorphs, the calculation gives 0.000 eV per atom. The uncorrected energy is -5.506 eV/atom. The calculation puts the volume at 216.9 Å³/cell.

The structure in POSCAR format:
```
Zr2Au2Br
1.0
7.417 0.000 0.000
0.000 7.417 0.000
0.000 0.000 3.943
Zr Au Br
4 4 2
direct
0.162 0.338 0.000 Zr
0.338 0.838 0.000 Zr
0.662 0.162 0.000 Zr
0.838 0.662 0.000 Zr
0.136 0.636 0.500 Au
0.364 0.136 0.500 Au
0.636 0.864 0.500 Au
0.864 0.364 0.500 Au
0.000 0.000 0.000 Br
0.500 0.500 0.000 Br
```

The following is a GGA-PBE calculation of a relaxed ZrAuBr2 crystal, from the Alexandria database.

Summary:
The value obtained for the energy relative to the elements, uncorrected is -0.53 eV/atom. For the relative energy among the computed polymorphs, the calculation gives 0.231 eV per atom. The uncorrected energy is -4.323 eV/atom. The calculation puts the volume at 113.6 Å³/cell.

The structure in POSCAR format:
```
ZrAuBr2
1.0
-1.630 2.518 6.920
1.630 -2.518 6.920
1.630 2.518 -6.920
Zr Au Br
1 1 2
direct
0.000 0.000 0.000 Zr
0.167 0.667 0.500 Au
0.514 0.514 0.000 Br
0.840 0.340 0.500 Br
```

The following is a GGA-PBE calculation of a relaxed ZrAuBr2 crystal, from the Alexandria database.

Summary:
The value obtained for the energy relative to the elements, uncorrected is -0.66 eV/atom. For the relative energy among the computed polymorphs, the calculation gives 0.101 eV per atom. The uncorrected energy is -4.453 eV/atom. The calculation puts the volume at 138.3 Å³/cell.

The structure in POSCAR format:
```
ZrAuBr2
1.0
2.763 -7.120 0.000
2.763 7.120 0.000
0.000 0.000 3.514
Zr Au Br
1 1 2
direct
0.000 0.000 0.000 Zr
0.500 0.500 0.000 Au
0.143 0.857 0.500 Br
0.857 0.143 0.500 Br
```

The following is a GGA-PBE calculation of a relaxed Zr2AuBr crystal, from the Alexandria database.

Summary:
The value obtained for the energy relative to the elements, uncorrected is -0.35 eV/atom. For the relative energy among the computed polymorphs, the calculation gives 0.146 eV per atom. The uncorrected energy is -5.866 eV/atom. The calculation puts the volume at 86.7 Å³/cell.

The structure in POSCAR format:
```
Zr2AuBr
1.0
3.262 0.000 0.000
0.000 5.252 0.000
-1.030 0.000 5.060
Zr Au Br
2 1 1
direct
0.000 0.000 0.000 Zr
0.298 0.500 0.558 Zr
0.653 0.000 0.459 Au
0.959 0.500 0.000 Br
```

The following is a GGA-PBE calculation of a relaxed ZrAuBr2 crystal, from the Alexandria database.

Summary:
The value obtained for the energy relative to the elements, uncorrected is -0.20 eV/atom. For the relative energy among the computed polymorphs, the calculation gives 0.562 eV per atom. The uncorrected energy is -3.992 eV/atom. The calculation puts the volume at 86.0 Å³/cell.

The structure in POSCAR format:
```
ZrAuBr2
1.0
-2.251 2.251 4.239
2.251 -2.251 4.239
2.251 2.251 -4.239
Zr Au Br
1 1 2
direct
0.000 0.000 0.000 Zr
0.500 0.500 0.000 Au
0.250 0.750 0.500 Br
0.750 0.250 0.500 Br
```

The following is a GGA-PBE calculation of a relaxed Zr2Au2Br crystal, from the Alexandria database.

Summary:
The value obtained for the energy relative to the elements, uncorrected is -0.06 eV/atom. For the relative energy among the computed polymorphs, the calculation gives 0.383 eV per atom. The uncorrected energy is -5.123 eV/atom. The calculation puts the volume at 110.7 Å³/cell.

The structure in POSCAR format:
```
Zr2Au2Br
1.0
-1.907 1.907 7.608
1.907 -1.907 7.608
1.907 1.907 -7.608
Zr Au Br
2 2 1
direct
0.106 0.106 0.000 Zr
0.894 0.894 0.000 Zr
0.250 0.750 0.500 Au
0.750 0.250 0.500 Au
0.500 0.500 0.000 Br
```

The following is a GGA-PBE calculation of a relaxed ZrAuBr2 crystal, from the Alexandria database.

Summary:
The value obtained for the energy relative to the elements, uncorrected is -0.30 eV/atom. For the relative energy among the computed polymorphs, the calculation gives 0.464 eV per atom. The uncorrected energy is -4.090 eV/atom. The calculation puts the volume at 109.5 Å³/cell.

The structure in POSCAR format:
```
ZrAuBr2
1.0
1.661 -2.972 0.000
1.661 2.972 0.000
0.000 0.000 11.087
Zr Au Br
1 1 2
direct
0.000 0.000 0.000 Zr
0.000 0.000 0.500 Au
0.500 0.500 0.192 Br
0.500 0.500 0.808 Br
```

The following is a GGA-PBE calculation of a relaxed ZrAuBr2 crystal, from the Alexandria database.

Summary:
The value obtained for the energy relative to the elements, uncorrected is 0.01 eV/atom. For the relative energy among the computed polymorphs, the calculation gives 0.768 eV per atom. The uncorrected energy is -3.785 eV/atom. The calculation puts the volume at 89.2 Å³/cell.

The structure in POSCAR format:
```
ZrAuBr2
1.0
4.493 0.000 0.000
0.000 4.493 0.000
0.000 0.000 4.419
Zr Au Br
1 1 2
direct
0.000 0.000 0.000 Zr
0.500 0.500 0.000 Au
0.000 0.500 0.500 Br
0.500 0.000 0.500 Br
```

The following is a GGA-PBE calculation of a relaxed ZrAuBr2 crystal, from the Alexandria database.

Summary:
The value obtained for the energy relative to the elements, uncorrected is -0.56 eV/atom. For the relative energy among the computed polymorphs, the calculation gives 0.203 eV per atom. The uncorrected energy is -4.350 eV/atom. The calculation puts the volume at 105.8 Å³/cell.

The structure in POSCAR format:
```
ZrAuBr2
1.0
1.667 0.963 10.988
-1.667 0.963 10.988
0.000 -1.925 10.988
Zr Au Br
1 1 2
direct
0.000 0.000 0.000 Zr
0.500 0.500 0.500 Au
0.274 0.274 0.274 Br
0.726 0.726 0.726 Br
```

The following is a GGA-PBE calculation of a relaxed ZrAuBr2 crystal, from the Alexandria database.

Summary:
The value obtained for the energy relative to the elements, uncorrected is 0.03 eV/atom. For the relative energy among the computed polymorphs, the calculation gives 0.786 eV per atom. The uncorrected energy is -3.767 eV/atom. The calculation puts the volume at 88.2 Å³/cell.

The structure in POSCAR format:
```
ZrAuBr2
1.0
3.213 -3.930 0.000
3.213 3.930 0.000
0.000 0.000 3.492
Zr Au Br
1 1 2
direct
0.000 0.000 0.000 Zr
0.500 0.500 0.000 Au
0.000 0.500 0.500 Br
0.500 0.000 0.500 Br
```

The following is a GGA-PBE calculation of a relaxed Zr2AuBr crystal, from the Alexandria database.

Summary:
The value obtained for the energy relative to the elements, uncorrected is -0.36 eV/atom. For the relative energy among the computed polymorphs, the calculation gives 0.140 eV per atom. The uncorrected energy is -5.873 eV/atom. The calculation puts the volume at 80.8 Å³/cell.

The structure in POSCAR format:
```
Zr2AuBr
1.0
3.250 0.000 0.000
0.000 3.250 0.000
0.000 0.000 7.644
Zr Au Br
2 1 1
direct
0.000 0.000 0.247 Zr
0.000 0.000 0.753 Zr
0.500 0.500 0.000 Au
0.500 0.500 0.500 Br
```